Record 1
Below is a geometry-optimized Tb3Ce2Se6 structure, with properties calculated at the GGA-PBE level.

Properties
Space-group type: C2/m, No. 12
Density of states at the Fermi level (states/eV per cell): 15.80
Uncorrected energy (Ry/atom): -0.44835
Uncorrected formation energy (meV/atom): -1858

Unit cell a=7.1223 b=7.1223 c=7.2166 alpha=99.50 beta=99.50 gamma=119.93
With the nearest neighbours (Å) after each atom.
Fractional positions:
Tb1 0.0000 0.0000 0.0000  6 Se 2.88-2.94
Tb2 0.3347 0.6653 0.0000  6 Se 2.88-2.93
Tb3 0.6653 0.3347 0.0000  6 Se 2.88-2.93
Ce1 0.1661 0.8339 0.5000  6 Se 2.95-2.96
Ce2 0.8339 0.1661 0.5000  6 Se 2.95-2.96
Se1 0.0852 0.4145 0.2436  3 Tb 2.88-2.93, 2 Ce 2.96
Se2 0.2563 0.2563 0.7538  3 Tb 2.88-2.94, 2 Ce 2.95
Se3 0.4145 0.0852 0.2436  3 Tb 2.88-2.93, 2 Ce 2.96
Se4 0.5855 0.9148 0.7564  3 Tb 2.88-2.93, 2 Ce 2.96
Se5 0.7437 0.7437 0.2462  3 Tb 2.88-2.94, 2 Ce 2.95
Se6 0.9148 0.5855 0.7564  3 Tb 2.88-2.93, 2 Ce 2.96



Record 2
Below is a geometry-optimized Tb2Ce3Se8 structure, with properties calculated at the GGA-PBE level.

Properties
Space-group type: C2/m, No. 12
Density of states at the Fermi level (states/eV per cell): 15.61
Uncorrected energy (Ry/atom): -0.44136
Uncorrected formation energy (meV/atom): -1779

Unit cell a=8.4203 b=8.4203 c=7.3804 alpha=108.10 beta=108.10 gamma=60.82
With the nearest neighbours (Å) after each atom.
Fractional positions:
Tb1 0.2442 0.2442 0.4691  6 Se 2.81-2.96
Tb2 0.7558 0.7558 0.5309  6 Se 2.81-2.96
Ce1 0.2436 0.7564 0.5000  6 Se 2.85-2.97
Ce2 0.5000 0.5000 0.0000  6 Se 2.95-2.97
Ce3 0.7564 0.2436 0.5000  6 Se 2.85-2.97
Se1 0.1301 0.1301 0.7056  1 Tb 2.81, 2 Ce 2.85
Se2 0.1392 0.6048 0.7306  2 Tb 2.90-2.92, 2 Ce 2.94-2.95
Se3 0.3808 0.3808 0.2525  1 Tb 2.96, 3 Ce 2.97
Se4 0.3952 0.8608 0.2694  2 Tb 2.90-2.92, 2 Ce 2.94-2.95
Se5 0.6048 0.1392 0.7306  2 Tb 2.90-2.92, 2 Ce 2.94-2.95
Se6 0.6192 0.6192 0.7475  1 Tb 2.96, 3 Ce 2.97
Se7 0.8608 0.3952 0.2694  2 Tb 2.90-2.92, 2 Ce 2.94-2.95
Se8 0.8699 0.8699 0.2944  1 Tb 2.81, 2 Ce 2.85



Record 3
Below is a geometry-optimized TbCeSe3 structure, with properties calculated at the GGA-PBE level.

Properties
ΔE to the lowest computed polymorph (meV per atom): 0
Space-group type: Pnma, No. 62
Density of states at the Fermi level (states/eV per cell): 24.68
Uncorrected energy (Ry/atom): -0.44586
Uncorrected formation energy (meV/atom): -1863

Unit cell a=7.7575 b=4.1566 c=16.0489 alpha=90.00 beta=90.00 gamma=90.00
With the nearest neighbours (Å) after each atom.
Fractional positions:
Tb1 0.2323 0.2500 0.0432  7 Se 2.89-3.05
Tb2 0.2677 0.7500 0.5432  7 Se 2.89-3.05
Tb3 0.7323 0.2500 0.4568  7 Se 2.89-3.05
Tb4 0.7677 0.7500 0.9568  7 Se 2.89-3.05
Ce1 0.1366 0.7500 0.2969  8 Se 2.94-3.28
Ce2 0.3634 0.2500 0.7969  8 Se 2.94-3.28
Ce3 0.6366 0.7500 0.2031  8 Se 2.94-3.28
Ce4 0.8634 0.2500 0.7031  8 Se 2.94-3.28
Se1 0.0085 0.7500 0.1061  3 Tb 2.89-3.04, 1 Ce 3.22
Se2 0.1231 0.2500 0.4354  3 Tb 2.93-3.05, 2 Ce 3.04, 1 Se 3.26
Se3 0.1514 0.7500 0.7180  4 Ce 2.94-3.06, 1 Tb 2.95, 1 Se 3.26
Se4 0.3486 0.2500 0.2180  4 Ce 2.94-3.06, 1 Tb 2.95, 1 Se 3.26
Se5 0.3769 0.7500 0.9354  3 Tb 2.93-3.05, 2 Ce 3.04, 1 Se 3.26
Se6 0.4915 0.2500 0.6061  3 Tb 2.89-3.04, 1 Ce 3.22
Se7 0.5085 0.7500 0.3939  3 Tb 2.89-3.04, 1 Ce 3.22
Se8 0.6231 0.2500 0.0646  3 Tb 2.93-3.05, 2 Ce 3.04, 1 Se 3.26
Se9 0.6514 0.7500 0.7820  4 Ce 2.94-3.06, 1 Tb 2.95, 1 Se 3.26
Se10 0.8486 0.2500 0.2820  4 Ce 2.94-3.06, 1 Tb 2.95, 1 Se 3.26
Se11 0.8769 0.7500 0.5646  3 Tb 2.93-3.05, 2 Ce 3.04, 1 Se 3.26
Se12 0.9915 0.2500 0.8939  3 Tb 2.89-3.04, 1 Ce 3.22